A) Material: Pm3Si
Method: DFT, GGA-PBE
State: relaxed

Output
SG: No. 86

Unit cell a=6.0872 b=12.2971 c=12.2971 alpha=90.00 beta=90.00 gamma=90.00
With the nearest neighbours (Å) after each atom.
Fractional coordinates of all 32 atoms:
Pm1 0.0100 0.2792 0.8239  3 Si 3.10-3.20, 1 Pm 3.45
Pm2 0.0100 0.7208 0.1761  3 Si 3.10-3.20, 1 Pm 3.45
Pm3 0.5100 0.6761 0.7792  3 Si 3.10-3.20, 1 Pm 3.45
Pm4 0.5100 0.3239 0.2208  3 Si 3.10-3.20, 1 Pm 3.45
Pm5 0.4900 0.2208 0.6761  3 Si 3.10-3.20, 1 Pm 3.45
Pm6 0.4900 0.7792 0.3239  3 Si 3.10-3.20, 1 Pm 3.45
Pm7 0.9900 0.8239 0.7208  3 Si 3.10-3.20, 1 Pm 3.45
Pm8 0.9900 0.1761 0.2792  3 Si 3.10-3.20, 1 Pm 3.45
Pm9 0.5202 0.3849 0.9176  2 Si 3.14-3.15, 2 Pm 3.45-3.48
Pm10 0.5202 0.6151 0.0824  2 Si 3.14-3.15, 2 Pm 3.45-3.48
Pm11 0.0202 0.5824 0.8849  2 Si 3.14-3.15, 2 Pm 3.45-3.48
Pm12 0.0202 0.4176 0.1151  2 Si 3.14-3.15, 2 Pm 3.45-3.48
Pm13 0.9798 0.1151 0.5824  2 Si 3.14-3.15, 2 Pm 3.45-3.48
Pm14 0.9798 0.8849 0.4176  2 Si 3.14-3.15, 2 Pm 3.45-3.48
Pm15 0.4798 0.9176 0.6151  2 Si 3.14-3.15, 2 Pm 3.45-3.48
Pm16 0.4798 0.0824 0.3849  2 Si 3.14-3.15, 2 Pm 3.45-3.48
Pm17 0.7327 0.0330 0.8638  4 Si 3.05-3.21
Pm18 0.7327 0.9670 0.1362  4 Si 3.05-3.21
Pm19 0.2327 0.6362 0.5330  4 Si 3.05-3.21
Pm20 0.2327 0.3638 0.4670  4 Si 3.05-3.21
Pm21 0.7673 0.4670 0.6362  4 Si 3.05-3.21
Pm22 0.7673 0.5330 0.3638  4 Si 3.05-3.21
Pm23 0.2673 0.8638 0.9670  4 Si 3.05-3.21
Pm24 0.2673 0.1362 0.0330  4 Si 3.05-3.21
Si1 0.7768 0.7973 0.9561  9 Pm 3.05-3.21
Si2 0.7768 0.2027 0.0439  9 Pm 3.05-3.21
Si3 0.2768 0.5439 0.2973  9 Pm 3.05-3.21
Si4 0.2768 0.4561 0.7027  9 Pm 3.05-3.21
Si5 0.7232 0.7027 0.5439  9 Pm 3.05-3.21
Si6 0.7232 0.2973 0.4561  9 Pm 3.05-3.21
Si7 0.2232 0.9561 0.2027  9 Pm 3.05-3.21
Si8 0.2232 0.0439 0.7973  9 Pm 3.05-3.21

B) Material: Pm3Si
Method: DFT, GGA-PBE
State: relaxed

Output
SG: No. 71

Unit cell a=3.9776 b=5.1210 c=6.5279 alpha=113.09 beta=107.74 gamma=90.00
With the nearest neighbours (Å) after each atom.
Fractional coordinates of all 4 atoms:
Si1 0.0000 0.9171 0.0000  8 Pm 3.04-3.24
Pm1 0.2973 0.7138 0.5946  2 Si 3.04
Pm2 0.5000 0.4167 0.0000  4 Si 3.24, 4 Pm 3.44
Pm3 0.7027 0.1192 0.4054  2 Si 3.04

C) Material: Pm3Si
Method: DFT, GGA-PBE
State: relaxed

Output
SG: No. 139

Unit cell a=4.6730 b=4.6730 c=5.9385 alpha=113.17 beta=113.17 gamma=90.00
With the nearest neighbours (Å) after each atom.
Fractional coordinates of all 4 atoms:
Si1 0.0000 0.0000 0.0000  12 Pm 3.30-3.40
Pm1 0.7500 0.2500 0.5000  8 Pm 3.30-3.40, 4 Si 3.40
Pm2 0.2500 0.7500 0.5000  8 Pm 3.30-3.40, 4 Si 3.40
Pm3 0.5000 0.5000 0.0000  4 Si 3.30, 8 Pm 3.40

The calculated energies rank the structures as follows, beginning with the most stable: A), B), C).

A) Material: Pm5Si4
Method: DFT, GGA-PBE
State: relaxed

Output
SG: No. 12

Unit cell a=4.4145 b=5.8991 c=9.6189 alpha=75.31 beta=76.73 gamma=68.03
With the nearest neighbours (Å) after each atom.
Fractional coordinates of all 9 atoms:
Pm1 0.1040 0.1843 0.6076  7 Si 3.05-3.23
Pm2 0.8960 0.8157 0.3924  7 Si 3.05-3.23
Pm3 0.7525 0.6633 0.8316  6 Si 3.08-3.32, 2 Pm 3.44
Pm4 0.2475 0.3367 0.1684  6 Si 3.08-3.32, 2 Pm 3.44
Pm5 0.0000 0.0000 0.0000  4 Si 2.98
Si1 0.4516 0.2722 0.8246  1 Si 2.49
Si2 0.5484 0.7278 0.1754  1 Si 2.49
Si3 0.3883 0.6155 0.6080  2 Si 2.49-2.58
Si4 0.6117 0.3845 0.3920  2 Si 2.49-2.58

B) Material: Pm5Si4
Method: DFT, GGA-PBE
State: relaxed

Output
SG: No. 12

Unit cell a=3.7874 b=7.8170 c=7.8170 alpha=86.64 beta=75.99 gamma=75.99
With the nearest neighbours (Å) after each atom.
Fractional coordinates of all 9 atoms:
Pm1 0.0000 0.9716 0.0284  6 Si 3.06-3.26, 1 Pm 3.27
Pm2 0.0000 0.3617 0.6383  6 Si 3.06-3.26, 1 Pm 3.27
Pm3 0.0000 0.6667 0.3333  4 Pm 3.27, 8 Si 3.52-3.53
Pm4 0.3039 0.3617 0.0283  6 Si 3.06-3.26, 1 Pm 3.27
Pm5 0.6961 0.9717 0.6383  6 Si 3.06-3.26, 1 Pm 3.27
Si1 0.3037 0.6667 0.7253  2 Si 2.50-2.51
Si2 0.3037 0.0586 0.3333  2 Si 2.50-2.51
Si3 0.6963 0.6667 0.9414  2 Si 2.50-2.51
Si4 0.6963 0.2747 0.3333  2 Si 2.50-2.51

The calculated energies rank the structures as follows, beginning with the most stable: A), B).

A) Material: Pm5Si3
Method: DFT, GGA-PBE
State: relaxed

Output
SG: No. 65

Unit cell a=4.7431 b=6.8966 c=6.8966 alpha=109.85 beta=90.00 gamma=90.00
With the nearest neighbours (Å) after each atom.
Fractional coordinates of all 8 atoms:
Pm1 0.0000 0.0000 0.0000  4 Si 3.19, 8 Pm 3.31-3.45
Pm2 0.0000 0.5000 0.0000  6 Si 3.17-3.45, 2 Pm 3.45
Pm3 0.0000 0.0000 0.5000  6 Si 3.17-3.45, 2 Pm 3.45
Pm4 0.5000 0.7085 0.7085  4 Si 2.89-3.14
Pm5 0.5000 0.2915 0.2915  4 Si 2.89-3.14
Si1 0.0000 0.5000 0.5000  4 Pm 2.89
Si2 0.5000 0.8115 0.1885  8 Pm 3.14-3.19
Si3 0.5000 0.1885 0.8115  8 Pm 3.14-3.19

B) Material: Pm5Si3
Method: DFT, GGA-PBE
State: relaxed

Output
SG: No. 140

Unit cell a=7.7531 b=7.7531 c=8.8215 alpha=116.07 beta=116.07 gamma=90.00
With the nearest neighbours (Å) after each atom.
Fractional coordinates of all 16 atoms:
Pm1 0.0000 0.0000 0.0000  6 Si 3.11-3.46
Pm2 0.5000 0.5000 0.0000  6 Si 3.11-3.46
Pm3 0.5314 0.0314 0.7090  5 Si 3.03-3.20, 1 Pm 3.30
Pm4 0.1776 0.6776 0.7090  5 Si 3.03-3.20, 1 Pm 3.30
Pm5 0.6776 0.5314 0.7090  5 Si 3.03-3.20, 1 Pm 3.30
Pm6 0.0314 0.1776 0.7090  5 Si 3.03-3.20, 1 Pm 3.30
Pm7 0.4686 0.9686 0.2910  5 Si 3.03-3.20, 1 Pm 3.30
Pm8 0.8224 0.3224 0.2910  5 Si 3.03-3.20, 1 Pm 3.30
Pm9 0.3224 0.4686 0.2910  5 Si 3.03-3.20, 1 Pm 3.30
Pm10 0.9686 0.8224 0.2910  5 Si 3.03-3.20, 1 Pm 3.30
Si1 0.7500 0.7500 0.5000  10 Pm 3.20-3.46
Si2 0.2500 0.2500 0.5000  10 Pm 3.20-3.46
Si3 0.1168 0.6168 0.0000  1 Si 2.56
Si4 0.8832 0.3832 0.0000  1 Si 2.56
Si5 0.3832 0.1168 0.0000  1 Si 2.56
Si6 0.6168 0.8832 0.0000  1 Si 2.56

The calculated energies rank the structures as follows, beginning with the most stable: B), A).

A) Material: Pm2SmSi
Method: DFT, GGA-PBE
State: relaxed

Output
SG: No. 166

Unit cell a=4.8876 b=4.8876 c=6.3017 alpha=67.18 beta=67.18 gamma=60.00
With the nearest neighbours (Å) after each atom.
Fractional coordinates of all 4 atoms:
Si1 0.5000 0.5000 0.5000  6 Pm 3.01
Sm1 0.0000 0.0000 0.0000  6 Pm 3.34
Pm1 0.7720 0.7720 0.6840  3 Si 3.01, 3 Sm 3.34
Pm2 0.2280 0.2280 0.3160  3 Si 3.01, 3 Sm 3.34

B) Material: Pm2SmSi
Method: DFT, GGA-PBE
State: relaxed

Output
SG: No. 123

Unit cell a=3.9493 b=3.9493 c=7.1952 alpha=90.00 beta=90.00 gamma=90.00
With the nearest neighbours (Å) after each atom.
Fractional coordinates of all 4 atoms:
Si1 0.5000 0.5000 0.0000  8 Pm 3.15
Sm1 0.5000 0.5000 0.5000  8 Pm 3.51, 2 Si 3.60
Pm1 0.0000 0.0000 0.7963  1 Pm 2.93, 4 Si 3.15
Pm2 0.0000 0.0000 0.2037  1 Pm 2.93, 4 Si 3.15

C) Material: Pm2SmSi
Method: DFT, GGA-PBE
State: relaxed

Output
SG: No. 62

Unit cell a=6.4176 b=7.8642 c=9.3156 alpha=90.00 beta=90.00 gamma=90.00
With the nearest neighbours (Å) after each atom.
Fractional coordinates of all 16 atoms:
Pm1 0.1343 0.6850 0.0556  3 Si 3.04-3.16
Pm2 0.3657 0.1850 0.4444  3 Si 3.04-3.16
Pm3 0.8657 0.3150 0.5556  3 Si 3.04-3.16
Pm4 0.6343 0.8150 0.9444  3 Si 3.04-3.16
Pm5 0.8657 0.3150 0.9444  3 Si 3.04-3.16
Pm6 0.6343 0.8150 0.5556  3 Si 3.04-3.16
Pm7 0.1343 0.6850 0.4444  3 Si 3.04-3.16
Pm8 0.3657 0.1850 0.0556  3 Si 3.04-3.16
Sm1 0.6318 0.5316 0.2500  2 Si 3.01-3.03
Sm2 0.8682 0.0316 0.2500  2 Si 3.01-3.03
Sm3 0.3682 0.4684 0.7500  2 Si 3.01-3.03
Sm4 0.1318 0.9684 0.7500  2 Si 3.01-3.03
Si1 0.0657 0.3795 0.2500  2 Sm 3.01-3.03, 6 Pm 3.04-3.16
Si2 0.4343 0.8795 0.2500  2 Sm 3.01-3.03, 6 Pm 3.04-3.16
Si3 0.9343 0.6205 0.7500  2 Sm 3.01-3.03, 6 Pm 3.04-3.16
Si4 0.5657 0.1205 0.7500  2 Sm 3.01-3.03, 6 Pm 3.04-3.16

D) Material: Pm2SmSi
Method: DFT, GGA-PBE
State: relaxed

Output
SG: No. 123

Unit cell a=4.7469 b=4.7344 c=4.7344 alpha=90.00 beta=90.00 gamma=90.00
With the nearest neighbours (Å) after each atom.
Fractional coordinates of all 4 atoms:
Si1 0.5000 0.0000 0.0000  4 Sm 3.35, 8 Pm 3.35
Sm1 0.5000 0.5000 0.5000  4 Si 3.35, 8 Pm 3.35
Pm1 0.0000 0.0000 0.5000  4 Pm 3.35, 4 Sm 3.35, 4 Si 3.35
Pm2 0.0000 0.5000 0.0000  4 Pm 3.35, 4 Sm 3.35, 4 Si 3.35

The calculated energies rank the structures as follows, beginning with the most stable: C), D), B), A).

A) Material: PmSmZnSi
Method: DFT, GGA-PBE
State: relaxed

Output
SG: No. 216

Unit cell a=5.1012 b=5.1012 c=5.1012 alpha=60.00 beta=60.00 gamma=60.00
With the nearest neighbours (Å) after each atom.
Fractional coordinates of all 4 atoms:
Zn1 0.7500 0.7500 0.7500  4 Sm 3.12, 4 Pm 3.12
Si1 0.2500 0.2500 0.2500  4 Pm 3.12, 4 Sm 3.12
Sm1 0.5000 0.5000 0.5000  4 Zn 3.12, 4 Si 3.12
Pm1 0.0000 0.0000 0.0000  4 Zn 3.12, 4 Si 3.12

B) Material: PmSmZnSi
Method: DFT, GGA-PBE
State: relaxed

Output
SG: No. 38

Unit cell a=4.2973 b=4.1214 c=5.9455 alpha=90.00 beta=111.19 gamma=90.00
With the nearest neighbours (Å) after each atom.
Fractional coordinates of all 4 atoms:
Pm1 0.8555 0.5000 0.7110  4 Zn 3.10, 3 Si 3.16-3.21
Sm1 0.1406 0.0000 0.2812  4 Si 3.08, 3 Zn 3.15-3.25
Zn1 0.4333 0.0000 0.8667  2 Si 2.56
Si1 0.5706 0.5000 0.1412  2 Zn 2.56

The calculated energies rank the structures as follows, beginning with the most stable: B), A).

A) Material: PmSiSn
Method: DFT, GGA-PBE
State: relaxed

Output
SG: No. 63

Unit cell a=3.8738 b=4.2306 c=9.0921 alpha=103.45 beta=90.00 gamma=90.00
With the nearest neighbours (Å) after each atom.
Fractional coordinates of all 6 atoms:
Pm1 0.2500 0.9060 0.8119  6 Si 3.02-3.18
Pm2 0.7500 0.0940 0.1881  6 Si 3.02-3.18
Si1 0.2500 0.5401 0.0802  2 Si 2.40
Si2 0.7500 0.4599 0.9198  2 Si 2.40
Sn1 0.7500 0.2934 0.5867  1 Si 2.95, 4 Sn 3.25
Sn2 0.2500 0.7066 0.4133  1 Si 2.95, 4 Sn 3.25

B) Material: PmSiSn
Method: DFT, GGA-PBE
State: relaxed

Output
SG: No. 70

Unit cell a=7.6952 b=7.6952 c=7.4744 alpha=103.75 beta=103.75 gamma=122.57
With the nearest neighbours (Å) after each atom.
Fractional coordinates of all 12 atoms:
Pm1 0.6250 0.3750 0.2500  2 Sn 3.25, 4 Si 3.28-3.30
Pm2 0.1250 0.3750 0.7500  2 Sn 3.25, 4 Si 3.28-3.30
Pm3 0.6250 0.3750 0.7500  2 Sn 3.25, 4 Si 3.28-3.30
Pm4 0.6250 0.8750 0.2500  2 Sn 3.25, 4 Si 3.28-3.30
Si1 0.0761 0.9239 0.5000  4 Sn 2.62-2.90
Si2 0.8261 0.1739 0.0000  4 Sn 2.62-2.90
Si3 0.4239 0.5761 0.5000  4 Sn 2.62-2.90
Si4 0.1739 0.8261 0.0000  4 Sn 2.62-2.90
Sn1 0.1188 0.6188 0.2375  4 Si 2.62-2.90
Sn2 0.1312 0.1312 0.2625  4 Si 2.62-2.90
Sn3 0.8688 0.8688 0.7375  4 Si 2.62-2.90
Sn4 0.3812 0.8812 0.7625  4 Si 2.62-2.90

The calculated energies rank the structures as follows, beginning with the most stable: A), B).

A) Material: Pm3SiSn2
Method: DFT, GGA-PBE
State: relaxed

Output
SG: No. 62

Unit cell a=4.3612 b=12.2105 c=12.6002 alpha=90.00 beta=90.00 gamma=90.00
With the nearest neighbours (Å) after each atom.
Fractional coordinates of all 24 atoms:
Pm1 0.2500 0.3798 0.0557  5 Sn 3.16-3.44, 1 Si 3.19
Pm2 0.7500 0.6202 0.9443  5 Sn 3.16-3.44, 1 Si 3.19
Pm3 0.7500 0.8798 0.4443  5 Sn 3.16-3.44, 1 Si 3.19
Pm4 0.2500 0.1202 0.5557  5 Sn 3.16-3.44, 1 Si 3.19
Pm5 0.2500 0.7148 0.2303  2 Si 3.01, 2 Sn 3.14-3.34
Pm6 0.7500 0.2852 0.7697  2 Si 3.01, 2 Sn 3.14-3.34
Pm7 0.7500 0.2148 0.2697  2 Si 3.01, 2 Sn 3.14-3.34
Pm8 0.2500 0.7852 0.7303  2 Si 3.01, 2 Sn 3.14-3.34
Pm9 0.2500 0.4506 0.3863  3 Si 3.09-3.19, 5 Sn 3.22-3.33
Pm10 0.7500 0.5494 0.6137  3 Si 3.09-3.19, 5 Sn 3.22-3.33
Pm11 0.7500 0.9506 0.1137  3 Si 3.09-3.19, 5 Sn 3.22-3.33
Pm12 0.2500 0.0494 0.8863  3 Si 3.09-3.19, 5 Sn 3.22-3.33
Si1 0.2500 0.1292 0.1272  3 Sn 2.74-2.81, 2 Pm 3.01
Si2 0.7500 0.8708 0.8728  3 Sn 2.74-2.81, 2 Pm 3.01
Si3 0.7500 0.6292 0.3728  3 Sn 2.74-2.81, 2 Pm 3.01
Si4 0.2500 0.3708 0.6272  3 Sn 2.74-2.81, 2 Pm 3.01
Sn1 0.2500 0.6996 0.4950  2 Si 2.81
Sn2 0.7500 0.3004 0.5050  2 Si 2.81
Sn3 0.7500 0.1996 0.0050  2 Si 2.81
Sn4 0.2500 0.8004 0.9950  2 Si 2.81
Sn5 0.2500 0.0030 0.3071  1 Si 2.74
Sn6 0.7500 0.9970 0.6929  1 Si 2.74
Sn7 0.7500 0.5030 0.1929  1 Si 2.74
Sn8 0.2500 0.4970 0.8071  1 Si 2.74

B) Material: Pm3SiSn2
Method: DFT, GGA-PBE
State: relaxed

Output
SG: No. 15

Unit cell a=6.2317 b=7.3969 c=8.4721 alpha=102.54 beta=111.58 gamma=90.00
With the nearest neighbours (Å) after each atom.
Fractional coordinates of all 12 atoms:
Pm1 0.5018 0.2500 0.0000  2 Si 3.11-3.12, 4 Sn 3.23
Pm2 0.4982 0.7500 0.0000  2 Si 3.11-3.12, 4 Sn 3.23
Pm3 0.1527 0.0757 0.3032  2 Si 2.97, 4 Sn 3.13-3.27
Pm4 0.8495 0.4243 0.6968  2 Si 2.97, 4 Sn 3.13-3.27
Pm5 0.1505 0.5757 0.3032  2 Si 2.97, 4 Sn 3.13-3.27
Pm6 0.8473 0.9243 0.6968  2 Si 2.97, 4 Sn 3.13-3.27
Si1 0.9978 0.7500 0.0000  6 Pm 2.97-3.12
Si2 0.0022 0.2500 0.0000  6 Pm 2.97-3.12
Sn1 0.6715 0.5864 0.3454  6 Pm 3.13-3.27
Sn2 0.6739 0.0864 0.3454  6 Pm 3.13-3.27
Sn3 0.3261 0.9136 0.6546  6 Pm 3.13-3.27
Sn4 0.3285 0.4136 0.6546  6 Pm 3.13-3.27

The calculated energies rank the structures as follows, beginning with the most stable: A), B).

A) Material: SrPm2Si6
Method: DFT, GGA-PBE
State: relaxed

Output
SG: No. 191

Unit cell a=4.2273 b=7.1835 c=7.1835 alpha=120.00 beta=90.00 gamma=90.00
With the nearest neighbours (Å) after each atom.
Fractional coordinates of all 9 atoms:
Sr1 0.0000 0.0000 0.0000  12 Si 3.21
Pm1 0.0000 0.3333 0.6667  12 Si 3.18
Pm2 0.0000 0.6667 0.3333  12 Si 3.18
Si1 0.5000 0.3371 0.3371  3 Si 2.34-2.42
Si2 0.5000 0.6629 0.6629  3 Si 2.34-2.42
Si3 0.5000 0.0000 0.6629  3 Si 2.34-2.42
Si4 0.5000 0.6629 0.0000  3 Si 2.34-2.42
Si5 0.5000 0.3371 0.0000  3 Si 2.34-2.42
Si6 0.5000 0.0000 0.3371  3 Si 2.34-2.42

B) Material: SrPm2Si6
Method: DFT, GGA-PBE
State: relaxed

Output
SG: No. 71

Unit cell a=4.0321 b=7.6099 c=7.6099 alpha=74.63 beta=74.64 gamma=74.64
With the nearest neighbours (Å) after each atom.
Fractional coordinates of all 9 atoms:
Sr1 0.0000 0.0000 0.0000  12 Si 3.67-3.86, 2 Sr 4.03
Pm1 0.8414 0.6586 0.6586  10 Si 2.87-3.13
Pm2 0.1586 0.3414 0.3414  10 Si 2.87-3.13
Si1 0.6839 0.0580 0.5742  3 Si 2.35-2.52
Si2 0.3161 0.9420 0.4258  3 Si 2.35-2.52
Si3 0.3161 0.4258 0.9420  3 Si 2.35-2.52
Si4 0.5000 0.6430 0.3570  2 Si 2.35
Si5 0.5000 0.3570 0.6430  2 Si 2.35
Si6 0.6839 0.5742 0.0580  3 Si 2.35-2.52

The calculated energies rank the structures as follows, beginning with the most stable: A), B).